No. 1
# Li3AsO4 GGA-PBEsol relaxed
data_Li3AsO4
_symmetry_space_group_name_H-M 'P 1'
_symmetry_Int_Tables_number 1
_cell_length_a 6.263
_cell_length_b 5.392
_cell_length_c 4.951
_cell_angle_alpha 90.00
_cell_angle_beta 90.00
_cell_angle_gamma 90.00
loop_
_symmetry_equiv_pos_as_xyz
'x,y,z'
loop_
_atom_site_label
_atom_site_type_symbol
_atom_site_fract_x
_atom_site_fract_y
_atom_site_fract_z
_atom_site_occupancy
Li1 Li 0.000 0.165 0.000 1
Li2 Li 0.248 0.331 0.500 1
Li3 Li 0.252 0.669 0.000 1
Li4 Li 0.500 0.835 0.500 1
Li5 Li 0.748 0.669 0.000 1
Li6 Li 0.752 0.331 0.500 1
As1 As 0.000 0.830 0.492 1
As2 As 0.500 0.170 0.992 1
O1 O 0.000 0.131 0.603 1
O2 O 0.000 0.825 0.146 1
O3 O 0.224 0.679 0.605 1
O4 O 0.276 0.321 0.105 1
O5 O 0.500 0.175 0.646 1
O6 O 0.500 0.869 0.103 1
O7 O 0.724 0.321 0.105 1
O8 O 0.776 0.679 0.605 1
# ΔE_f (raw): -1.93 eV/atom
# symmetry: No. 31
# energy above the lowest structure with this stoichiometry: 0 meV/atom


No. 2
# LiAsO3 GGA-PBEsol relaxed
data_LiAsO3
_symmetry_space_group_name_H-M 'P 1'
_symmetry_Int_Tables_number 1
_cell_length_a 3.567
_cell_length_b 3.567
_cell_length_c 3.567
_cell_angle_alpha 90.00
_cell_angle_beta 90.00
_cell_angle_gamma 90.00
loop_
_symmetry_equiv_pos_as_xyz
'x,y,z'
loop_
_atom_site_label
_atom_site_type_symbol
_atom_site_fract_x
_atom_site_fract_y
_atom_site_fract_z
_atom_site_occupancy
Li1 Li 0.000 0.000 0.000 1
As1 As 0.500 0.500 0.500 1
O1 O 0.000 0.000 0.500 1
O2 O 0.000 0.500 0.000 1
O3 O 0.500 0.000 0.000 1
# ΔE_f (raw): -0.08 eV/atom
# symmetry: No. 221


No. 3
# Li3AsO GGA-PBEsol relaxed
data_Li3AsO
_symmetry_space_group_name_H-M 'P 1'
_symmetry_Int_Tables_number 1
_cell_length_a 4.724
_cell_length_b 4.724
_cell_length_c 4.724
_cell_angle_alpha 90.00
_cell_angle_beta 90.00
_cell_angle_gamma 90.00
loop_
_symmetry_equiv_pos_as_xyz
'x,y,z'
loop_
_atom_site_label
_atom_site_type_symbol
_atom_site_fract_x
_atom_site_fract_y
_atom_site_fract_z
_atom_site_occupancy
Li1 Li 0.000 0.000 0.500 1
Li2 Li 0.000 0.500 0.000 1
Li3 Li 0.500 0.000 0.000 1
As1 As 0.000 0.000 0.000 1
O1 O 0.500 0.500 0.500 1
# ΔE_f (raw): 0.03 eV/atom
# symmetry: No. 221
# energy above the lowest structure with this stoichiometry: 1038 meV/atom


No. 4
# Li2ThAs2O8 GGA-PBEsol relaxed
data_Li2ThAs2O8
_symmetry_space_group_name_H-M 'P 1'
_symmetry_Int_Tables_number 1
_cell_length_a 9.064
_cell_length_b 13.678
_cell_length_c 5.656
_cell_angle_alpha 90.00
_cell_angle_beta 105.86
_cell_angle_gamma 90.00
loop_
_symmetry_equiv_pos_as_xyz
'x,y,z'
loop_
_atom_site_label
_atom_site_type_symbol
_atom_site_fract_x
_atom_site_fract_y
_atom_site_fract_z
_atom_site_occupancy
Li1 Li 0.101 0.248 0.416 1
Li2 Li 0.101 0.252 0.916 1
Li3 Li 0.234 0.066 0.717 1
Li4 Li 0.234 0.434 0.217 1
Li5 Li 0.766 0.566 0.783 1
Li6 Li 0.766 0.934 0.283 1
Li7 Li 0.899 0.748 0.084 1
Li8 Li 0.899 0.752 0.584 1
Th1 Th 0.377 0.635 0.565 1
Th2 Th 0.377 0.865 0.065 1
Th3 Th 0.623 0.135 0.935 1
Th4 Th 0.623 0.365 0.435 1
As1 As 0.142 0.622 0.907 1
As2 As 0.142 0.878 0.407 1
As3 As 0.372 0.132 0.279 1
As4 As 0.372 0.368 0.779 1
As5 As 0.628 0.632 0.221 1
As6 As 0.628 0.868 0.721 1
As7 As 0.858 0.122 0.593 1
As8 As 0.858 0.378 0.093 1
O1 O 0.046 0.148 0.643 1
O2 O 0.046 0.352 0.143 1
O3 O 0.193 0.545 0.705 1
O4 O 0.193 0.955 0.205 1
O5 O 0.199 0.184 0.207 1
O6 O 0.199 0.316 0.707 1
O7 O 0.218 0.575 0.196 1
O8 O 0.218 0.925 0.696 1
O9 O 0.235 0.725 0.842 1
O10 O 0.235 0.775 0.342 1
O11 O 0.398 0.054 0.052 1
O12 O 0.398 0.446 0.552 1
O13 O 0.422 0.090 0.575 1
O14 O 0.422 0.410 0.075 1
O15 O 0.492 0.715 0.261 1
O16 O 0.492 0.785 0.761 1
O17 O 0.508 0.215 0.239 1
O18 O 0.508 0.285 0.739 1
O19 O 0.578 0.590 0.925 1
O20 O 0.578 0.910 0.425 1
O21 O 0.602 0.554 0.448 1
O22 O 0.602 0.946 0.948 1
O23 O 0.765 0.225 0.658 1
O24 O 0.765 0.275 0.158 1
O25 O 0.782 0.075 0.304 1
O26 O 0.782 0.425 0.804 1
O27 O 0.801 0.684 0.293 1
O28 O 0.801 0.816 0.793 1
O29 O 0.807 0.045 0.795 1
O30 O 0.807 0.455 0.295 1
O31 O 0.954 0.648 0.857 1
O32 O 0.954 0.852 0.357 1
# ΔE_f (raw): -2.12 eV/atom
# symmetry: No. 14


No. 5
# LiTiAsO5 GGA-PBEsol relaxed
data_LiTiAsO5
_symmetry_space_group_name_H-M 'P 1'
_symmetry_Int_Tables_number 1
_cell_length_a 7.480
_cell_length_b 6.613
_cell_length_c 7.488
_cell_angle_alpha 90.00
_cell_angle_beta 90.00
_cell_angle_gamma 90.00
loop_
_symmetry_equiv_pos_as_xyz
'x,y,z'
loop_
_atom_site_label
_atom_site_type_symbol
_atom_site_fract_x
_atom_site_fract_y
_atom_site_fract_z
_atom_site_occupancy
Li1 Li 0.000 0.000 0.000 1
Li2 Li 0.000 0.500 0.000 1
Li3 Li 0.500 0.000 0.500 1
Li4 Li 0.500 0.500 0.500 1
Ti1 Ti 0.162 0.250 0.275 1
Ti2 Ti 0.338 0.750 0.775 1
Ti3 Ti 0.662 0.250 0.225 1
Ti4 Ti 0.838 0.750 0.725 1
As1 As 0.127 0.750 0.370 1
As2 As 0.373 0.250 0.870 1
As3 As 0.627 0.750 0.130 1
As4 As 0.873 0.250 0.630 1
O1 O 0.067 0.250 0.510 1
O2 O 0.113 0.750 0.830 1
O3 O 0.126 0.545 0.234 1
O4 O 0.126 0.955 0.234 1
O5 O 0.185 0.250 0.000 1
O6 O 0.315 0.750 0.500 1
O7 O 0.374 0.045 0.734 1
O8 O 0.374 0.455 0.734 1
O9 O 0.387 0.250 0.330 1
O10 O 0.433 0.750 0.010 1
O11 O 0.567 0.250 0.990 1
O12 O 0.613 0.750 0.670 1
O13 O 0.626 0.545 0.266 1
O14 O 0.626 0.955 0.266 1
O15 O 0.685 0.250 0.500 1
O16 O 0.815 0.750 0.000 1
O17 O 0.874 0.045 0.766 1
O18 O 0.874 0.455 0.766 1
O19 O 0.887 0.250 0.170 1
O20 O 0.933 0.750 0.490 1
# ΔE_f (raw): -2.13 eV/atom
# symmetry: No. 62


No. 6
# LiVAsO5 GGA-PBEsol relaxed
data_LiVAsO5
_symmetry_space_group_name_H-M 'P 1'
_symmetry_Int_Tables_number 1
_cell_length_a 7.436
_cell_length_b 6.490
_cell_length_c 7.512
_cell_angle_alpha 90.00
_cell_angle_beta 90.00
_cell_angle_gamma 90.00
loop_
_symmetry_equiv_pos_as_xyz
'x,y,z'
loop_
_atom_site_label
_atom_site_type_symbol
_atom_site_fract_x
_atom_site_fract_y
_atom_site_fract_z
_atom_site_occupancy
Li1 Li 0.000 0.000 0.000 1
Li2 Li 0.000 0.500 0.000 1
Li3 Li 0.500 0.000 0.500 1
Li4 Li 0.500 0.500 0.500 1
V1 V 0.167 0.250 0.272 1
V2 V 0.333 0.750 0.772 1
V3 V 0.667 0.250 0.228 1
V4 V 0.833 0.750 0.728 1
As1 As 0.125 0.750 0.375 1
As2 As 0.375 0.250 0.875 1
As3 As 0.625 0.750 0.125 1
As4 As 0.875 0.250 0.625 1
O1 O 0.068 0.250 0.504 1
O2 O 0.116 0.750 0.821 1
O3 O 0.127 0.543 0.233 1
O4 O 0.127 0.957 0.233 1
O5 O 0.182 0.250 0.001 1
O6 O 0.318 0.750 0.501 1
O7 O 0.373 0.043 0.733 1
O8 O 0.373 0.457 0.733 1
O9 O 0.384 0.250 0.321 1
O10 O 0.432 0.750 0.004 1
O11 O 0.568 0.250 0.996 1
O12 O 0.616 0.750 0.679 1
O13 O 0.627 0.543 0.267 1
O14 O 0.627 0.957 0.267 1
O15 O 0.682 0.250 0.499 1
O16 O 0.818 0.750 0.999 1
O17 O 0.873 0.043 0.767 1
O18 O 0.873 0.457 0.767 1
O19 O 0.884 0.250 0.179 1
O20 O 0.932 0.750 0.496 1
# ΔE_f (raw): -1.86 eV/atom
# symmetry: No. 62


No. 7
# Li4VAs2O9 GGA-PBEsol relaxed
data_Li4VAs2O9
_symmetry_space_group_name_H-M 'P 1'
_symmetry_Int_Tables_number 1
_cell_length_a 8.802
_cell_length_b 8.802
_cell_length_c 9.571
_cell_angle_alpha 90.00
_cell_angle_beta 90.00
_cell_angle_gamma 90.00
loop_
_symmetry_equiv_pos_as_xyz
'x,y,z'
loop_
_atom_site_label
_atom_site_type_symbol
_atom_site_fract_x
_atom_site_fract_y
_atom_site_fract_z
_atom_site_occupancy
Li1 Li 0.123 0.652 0.094 1
Li2 Li 0.123 0.848 0.594 1
Li3 Li 0.152 0.623 0.406 1
Li4 Li 0.152 0.877 0.906 1
Li5 Li 0.348 0.623 0.906 1
Li6 Li 0.348 0.877 0.406 1
Li7 Li 0.377 0.652 0.594 1
Li8 Li 0.377 0.848 0.094 1
Li9 Li 0.623 0.152 0.906 1
Li10 Li 0.623 0.348 0.406 1
Li11 Li 0.652 0.123 0.594 1
Li12 Li 0.652 0.377 0.094 1
Li13 Li 0.848 0.123 0.094 1
Li14 Li 0.848 0.377 0.594 1
Li15 Li 0.877 0.152 0.406 1
Li16 Li 0.877 0.348 0.906 1
V1 V 0.250 0.250 0.335 1
V2 V 0.250 0.250 0.835 1
V3 V 0.750 0.750 0.165 1
V4 V 0.750 0.750 0.665 1
As1 As 0.060 0.560 0.750 1
As2 As 0.060 0.940 0.250 1
As3 As 0.440 0.560 0.250 1
As4 As 0.440 0.940 0.750 1
As5 As 0.560 0.060 0.250 1
As6 As 0.560 0.440 0.750 1
As7 As 0.940 0.060 0.750 1
As8 As 0.940 0.440 0.250 1
O1 O 0.066 0.134 0.283 1
O2 O 0.066 0.366 0.783 1
O3 O 0.123 0.653 0.894 1
O4 O 0.123 0.847 0.394 1
O5 O 0.134 0.066 0.783 1
O6 O 0.134 0.434 0.283 1
O7 O 0.153 0.623 0.606 1
O8 O 0.153 0.877 0.106 1
O9 O 0.250 0.250 0.002 1
O10 O 0.250 0.250 0.502 1
O11 O 0.347 0.623 0.106 1
O12 O 0.347 0.877 0.606 1
O13 O 0.366 0.066 0.283 1
O14 O 0.366 0.434 0.783 1
O15 O 0.377 0.653 0.394 1
O16 O 0.377 0.847 0.894 1
O17 O 0.434 0.134 0.783 1
O18 O 0.434 0.366 0.283 1
O19 O 0.566 0.634 0.717 1
O20 O 0.566 0.866 0.217 1
O21 O 0.623 0.153 0.106 1
O22 O 0.623 0.347 0.606 1
O23 O 0.634 0.566 0.217 1
O24 O 0.634 0.934 0.717 1
O25 O 0.653 0.123 0.394 1
O26 O 0.653 0.377 0.894 1
O27 O 0.750 0.750 0.498 1
O28 O 0.750 0.750 0.998 1
O29 O 0.847 0.123 0.894 1
O30 O 0.847 0.377 0.394 1
O31 O 0.866 0.566 0.717 1
O32 O 0.866 0.934 0.217 1
O33 O 0.877 0.153 0.606 1
O34 O 0.877 0.347 0.106 1
O35 O 0.934 0.634 0.217 1
O36 O 0.934 0.866 0.717 1
# ΔE_f (raw): -1.85 eV/atom
# symmetry: No. 130


No. 8
# LiZnAsO4 GGA-PBEsol relaxed
data_LiZnAsO4
_symmetry_space_group_name_H-M 'P 1'
_symmetry_Int_Tables_number 1
_cell_length_a 8.730
_cell_length_b 8.730
_cell_length_c 8.730
_cell_angle_alpha 107.89
_cell_angle_beta 107.89
_cell_angle_gamma 107.89
loop_
_symmetry_equiv_pos_as_xyz
'x,y,z'
loop_
_atom_site_label
_atom_site_type_symbol
_atom_site_fract_x
_atom_site_fract_y
_atom_site_fract_z
_atom_site_occupancy
Li1 Li 0.022 0.787 0.191 1
Li2 Li 0.191 0.022 0.787 1
Li3 Li 0.308 0.481 0.708 1
Li4 Li 0.481 0.708 0.308 1
Li5 Li 0.708 0.308 0.481 1
Li6 Li 0.787 0.191 0.022 1
Zn1 Zn 0.145 0.382 0.976 1
Zn2 Zn 0.382 0.976 0.145 1
Zn3 Zn 0.457 0.860 0.688 1
Zn4 Zn 0.688 0.457 0.860 1
Zn5 Zn 0.860 0.688 0.457 1
Zn6 Zn 0.976 0.145 0.382 1
As1 As 0.046 0.636 0.816 1
As2 As 0.119 0.528 0.350 1
As3 As 0.350 0.119 0.528 1
As4 As 0.528 0.350 0.119 1
As5 As 0.636 0.816 0.046 1
As6 As 0.816 0.046 0.636 1
O1 O 0.004 0.654 0.331 1
O2 O 0.163 0.511 0.829 1
O3 O 0.192 0.857 0.898 1
O4 O 0.224 0.234 0.547 1
O5 O 0.234 0.547 0.224 1
O6 O 0.269 0.973 0.308 1
O7 O 0.274 0.612 0.568 1
O8 O 0.308 0.269 0.973 1
O9 O 0.331 0.004 0.654 1
O10 O 0.511 0.829 0.163 1
O11 O 0.547 0.224 0.234 1
O12 O 0.555 0.601 0.889 1
O13 O 0.568 0.274 0.612 1
O14 O 0.601 0.889 0.555 1
O15 O 0.612 0.568 0.274 1
O16 O 0.617 0.948 0.938 1
O17 O 0.654 0.331 0.004 1
O18 O 0.829 0.163 0.511 1
O19 O 0.857 0.898 0.192 1
O20 O 0.889 0.555 0.601 1
O21 O 0.898 0.192 0.857 1
O22 O 0.938 0.617 0.948 1
O23 O 0.948 0.938 0.617 1
O24 O 0.973 0.308 0.269 1
# ΔE_f (raw): -1.59 eV/atom
# symmetry: No. 146


What did the fourth record say?
# Li2ThAs2O8 GGA-PBEsol relaxed
data_Li2ThAs2O8
_symmetry_space_group_name_H-M 'P 1'
_symmetry_Int_Tables_number 1
_cell_length_a 9.064
_cell_length_b 13.678
_cell_length_c 5.656
_cell_angle_alpha 90.00
_cell_angle_beta 105.86
_cell_angle_gamma 90.00
loop_
_symmetry_equiv_pos_as_xyz
'x,y,z'
loop_
_atom_site_label
_atom_site_type_symbol
_atom_site_fract_x
_atom_site_fract_y
_atom_site_fract_z
_atom_site_occupancy
Li1 Li 0.101 0.248 0.416 1
Li2 Li 0.101 0.252 0.916 1
Li3 Li 0.234 0.066 0.717 1
Li4 Li 0.234 0.434 0.217 1
Li5 Li 0.766 0.566 0.783 1
Li6 Li 0.766 0.934 0.283 1
Li7 Li 0.899 0.748 0.084 1
Li8 Li 0.899 0.752 0.584 1
Th1 Th 0.377 0.635 0.565 1
Th2 Th 0.377 0.865 0.065 1
Th3 Th 0.623 0.135 0.935 1
Th4 Th 0.623 0.365 0.435 1
As1 As 0.142 0.622 0.907 1
As2 As 0.142 0.878 0.407 1
As3 As 0.372 0.132 0.279 1
As4 As 0.372 0.368 0.779 1
As5 As 0.628 0.632 0.221 1
As6 As 0.628 0.868 0.721 1
As7 As 0.858 0.122 0.593 1
As8 As 0.858 0.378 0.093 1
O1 O 0.046 0.148 0.643 1
O2 O 0.046 0.352 0.143 1
O3 O 0.193 0.545 0.705 1
O4 O 0.193 0.955 0.205 1
O5 O 0.199 0.184 0.207 1
O6 O 0.199 0.316 0.707 1
O7 O 0.218 0.575 0.196 1
O8 O 0.218 0.925 0.696 1
O9 O 0.235 0.725 0.842 1
O10 O 0.235 0.775 0.342 1
O11 O 0.398 0.054 0.052 1
O12 O 0.398 0.446 0.552 1
O13 O 0.422 0.090 0.575 1
O14 O 0.422 0.410 0.075 1
O15 O 0.492 0.715 0.261 1
O16 O 0.492 0.785 0.761 1
O17 O 0.508 0.215 0.239 1
O18 O 0.508 0.285 0.739 1
O19 O 0.578 0.590 0.925 1
O20 O 0.578 0.910 0.425 1
O21 O 0.602 0.554 0.448 1
O22 O 0.602 0.946 0.948 1
O23 O 0.765 0.225 0.658 1
O24 O 0.765 0.275 0.158 1
O25 O 0.782 0.075 0.304 1
O26 O 0.782 0.425 0.804 1
O27 O 0.801 0.684 0.293 1
O28 O 0.801 0.816 0.793 1
O29 O 0.807 0.045 0.795 1
O30 O 0.807 0.455 0.295 1
O31 O 0.954 0.648 0.857 1
O32 O 0.954 0.852 0.357 1
# ΔE_f (raw): -2.12 eV/atom
# symmetry: No. 14


Q: ΔE_f (raw) of number 1 (Li3AsO4)?
A: -1.93 eV/atom